Material: Ti2CoNi2
Method: DFT, PBE-GGA
State: relaxed

The total energy is -69.763 eV/cell. Its density of states at the Fermi level is 6.0 states/eV/cell. The calculation puts the formation energy at -0.085 eV per atom. For the size of the total moment, the calculation gives 0.0 μB per cell.

The structure belongs to space group P4/mbm (No. 127); the cell edges are 6.738, 6.738 and 2.973 Å and the angles 90.00°, 90.00° and 90.00°. Symmetry generates all atoms from Ti at (0.165, 0.335, 0.000), Co at (0.000, 0.000, 0.000) and Ni at (0.133, 0.633, 0.500).



Material: PmNdTmPu
Method: DFT, PBE-GGA
State: relaxed

The total energy is -109.927 eV/cell. Its density of states at the Fermi level is 51.9 states/eV/cell. The calculation puts the formation energy at 0.210 eV per atom. For the size of the total moment, the calculation gives 30.2 μB per cell.

The structure belongs to space group F-43m (No. 216); the cell edges are 8.001, 8.001 and 8.001 Å and the angles 90.00°, 90.00° and 90.00°. Symmetry generates all atoms from Pm at (0.000, 0.000, 0.000), Nd at (0.000, 0.000, 0.500), Tm at (0.250, 0.250, 0.250) and Pu at (0.250, 0.250, 0.750).